Entry w
DFT (PBE-GGA) results for a geometry-optimized MgNbNiAu structure.

Calculated values
* size of the total moment: 0.001 μB per formula unit
* SG: No. 216

Unit cell a=4.4737 b=4.4737 c=4.4737 alpha=60.00 beta=60.00 gamma=60.00
With the nearest neighbours (Å) after each atom.
Fractional positions:
Au 0.2500 0.2500 0.2500  4 Ni 2.74, 4 Nb 2.74
Mg 0.7500 0.7500 0.7500  4 Nb 2.74, 4 Ni 2.74
Nb 0.0000 0.0000 0.0000  4 Mg 2.74, 4 Au 2.74
Ni 0.5000 0.5000 0.5000  4 Au 2.74, 4 Mg 2.74

Entry x
DFT (PBE-GGA) results for a geometry-optimized MgNbNiAu structure.

Calculated values
* size of the total moment: 0.002 μB per formula unit
* SG: No. 216

Unit cell a=4.4450 b=4.4450 c=4.4450 alpha=60.00 beta=60.00 gamma=60.00
With the nearest neighbours (Å) after each atom.
Fractional positions:
Au 0.5000 0.5000 0.5000  4 Ni 2.72, 4 Mg 2.72
Mg 0.7500 0.7500 0.7500  4 Nb 2.72, 4 Au 2.72
Nb 0.0000 0.0000 0.0000  4 Mg 2.72, 4 Ni 2.72
Ni 0.2500 0.2500 0.2500  4 Au 2.72, 4 Nb 2.72

Entry y
DFT (PBE-GGA) results for a geometry-optimized MgNbNiAu structure.

Calculated values
* size of the total moment: 0.005 μB per formula unit
* SG: No. 216

Unit cell a=4.5244 b=4.5244 c=4.5244 alpha=60.00 beta=60.00 gamma=60.00
With the nearest neighbours (Å) after each atom.
Fractional positions:
Au 0.0000 0.0000 0.0000  4 Mg 2.77, 4 Nb 2.77
Mg 0.7500 0.7500 0.7500  4 Au 2.77, 4 Ni 2.77
Nb 0.2500 0.2500 0.2500  4 Au 2.77, 4 Ni 2.77
Ni 0.5000 0.5000 0.5000  4 Mg 2.77, 4 Nb 2.77

The least stable of them is entry w.

Entry w
DFT (PBE-GGA) results for a geometry-optimized MgTaPdAu structure.

Calculated values
* size of the total moment: 0.001 μB per formula unit
* SG: No. 216

Unit cell a=4.5517 b=4.5517 c=4.5517 alpha=60.00 beta=60.00 gamma=60.00
With the nearest neighbours (Å) after each atom.
Fractional positions:
Au 0.5000 0.5000 0.5000  4 Pd 2.79, 4 Mg 2.79
Mg 0.7500 0.7500 0.7500  4 Au 2.79, 4 Ta 2.79
Pd 0.2500 0.2500 0.2500  4 Au 2.79, 4 Ta 2.79
Ta 0.0000 0.0000 0.0000  4 Mg 2.79, 4 Pd 2.79

Entry x
DFT (PBE-GGA) results for a geometry-optimized MgTaPdAu structure.

Calculated values
* size of the total moment: 0.001 μB per formula unit
* SG: No. 216

Unit cell a=4.5598 b=4.5598 c=4.5598 alpha=60.00 beta=60.00 gamma=60.00
With the nearest neighbours (Å) after each atom.
Fractional positions:
Au 0.2500 0.2500 0.2500  4 Pd 2.79, 4 Ta 2.79
Mg 0.7500 0.7500 0.7500  4 Ta 2.79, 4 Pd 2.79
Pd 0.5000 0.5000 0.5000  4 Au 2.79, 4 Mg 2.79
Ta 0.0000 0.0000 0.0000  4 Mg 2.79, 4 Au 2.79

Entry y
DFT (PBE-GGA) results for a geometry-optimized MgTaPdAu structure.

Calculated values
* size of the total moment: 0.001 μB per formula unit
* SG: No. 216

Unit cell a=4.5956 b=4.5956 c=4.5956 alpha=60.00 beta=60.00 gamma=60.00
With the nearest neighbours (Å) after each atom.
Fractional positions:
Au 0.0000 0.0000 0.0000  4 Mg 2.81, 4 Ta 2.81
Mg 0.7500 0.7500 0.7500  4 Au 2.81, 4 Pd 2.81
Pd 0.5000 0.5000 0.5000  4 Ta 2.81, 4 Mg 2.81
Ta 0.2500 0.2500 0.2500  4 Pd 2.81, 4 Au 2.81

The least stable of them is entry x.

Entry w
DFT (PBE-GGA) results for a geometry-optimized MgTaPtAu structure.

Calculated values
* size of the total moment: 0.000 μB per formula unit
* SG: No. 216

Unit cell a=4.5493 b=4.5493 c=4.5493 alpha=60.00 beta=60.00 gamma=60.00
With the nearest neighbours (Å) after each atom.
Fractional positions:
Au 0.5000 0.5000 0.5000  4 Pt 2.79, 4 Mg 2.79
Mg 0.7500 0.7500 0.7500  4 Ta 2.79, 4 Au 2.79
Pt 0.2500 0.2500 0.2500  4 Ta 2.79, 4 Au 2.79
Ta 0.0000 0.0000 0.0000  4 Pt 2.79, 4 Mg 2.79

Entry x
DFT (PBE-GGA) results for a geometry-optimized MgTaPtAu structure.

Calculated values
* size of the total moment: 0.000 μB per formula unit
* SG: No. 216

Unit cell a=4.5932 b=4.5932 c=4.5932 alpha=60.00 beta=60.00 gamma=60.00
With the nearest neighbours (Å) after each atom.
Fractional positions:
Au 0.0000 0.0000 0.0000  4 Mg 2.81, 4 Ta 2.81
Mg 0.7500 0.7500 0.7500  4 Pt 2.81, 4 Au 2.81
Pt 0.5000 0.5000 0.5000  4 Mg 2.81, 4 Ta 2.81
Ta 0.2500 0.2500 0.2500  4 Pt 2.81, 4 Au 2.81

Entry y
DFT (PBE-GGA) results for a geometry-optimized MgTaPtAu structure.

Calculated values
* size of the total moment: 0.000 μB per formula unit
* SG: No. 216

Unit cell a=4.5502 b=4.5502 c=4.5502 alpha=60.00 beta=60.00 gamma=60.00
With the nearest neighbours (Å) after each atom.
Fractional positions:
Au 0.2500 0.2500 0.2500  4 Ta 2.79, 4 Pt 2.79
Mg 0.7500 0.7500 0.7500  4 Pt 2.79, 4 Ta 2.79
Pt 0.5000 0.5000 0.5000  4 Mg 2.79, 4 Au 2.79
Ta 0.0000 0.0000 0.0000  4 Mg 2.79, 4 Au 2.79

The least stable of them is entry y.